## A
# Li2TiPt

Li2TiPt after structural relaxation (PBE, the Alexandria database).

a b c (Å): 3.6545 3.6545 19.6321
angles (deg): 90.00 90.00 90.00
Space group I-42d (No. 122)
Unique sites:
Li 0.2241 0.2500 0.1250 [8 per cell]
Ti 0.0000 0.0000 0.5000 [4 per cell]
Pt 0.0000 0.0000 0.0000 [4 per cell]

Properties
The density of states at the Fermi level is 2.30 states/eV/f.u. The magnetic moment comes out at 0.909 μB/f.u. The calculation puts the density at 6506 kg/m³.

=====

## B
# Li2TiPt

Li2TiPt after structural relaxation (PBE, the Alexandria database).

a b c (Å): 6.0188 6.0188 6.0188
angles (deg): 90.00 90.00 90.00
Space group Fm-3m (No. 225)
Unique sites:
Li 0.2500 0.2500 0.2500 [8 per cell]
Ti 0.0000 0.0000 0.0000 [4 per cell]
Pt 0.0000 0.0000 0.5000 [4 per cell]

Properties
The density of states at the Fermi level is 5.75 states/eV/f.u. The magnetic moment comes out at 0.000 μB/f.u. The calculation puts the density at 7824 kg/m³.

=====

Energetically preferred structure: A | next structure: +61 meV/atom